Here is a relaxed TiVTc crystal from Alexandria. Energies are from PBE.

Cell: 4.397 7.478 5.408 Å, 90.00 90.00 90.00°
Fractional positions:
Ti  0.250  0.417  0.837
Ti  0.250  0.083  0.337
Ti  0.750  0.583  0.163
Ti  0.750  0.917  0.663
V  0.750  0.925  0.160
V  0.750  0.575  0.660
V  0.250  0.075  0.840
V  0.250  0.425  0.340
Tc  0.750  0.238  0.028
Tc  0.250  0.762  0.972
Tc  0.250  0.738  0.472
Tc  0.750  0.262  0.528

Calculated values
**Crystal system**: orthorhombic
**Offset from the most stable computed form**: 0.58 eV/f.u.
**Energy relative to the elements**: -0.133 eV/atom
**D(E_F)**: 11.54 states/eV/cell


Here is a relaxed PmGd2Cu crystal from Alexandria. Energies are from PBE.

Cell: 3.551 3.551 8.735 Å, 90.00 90.00 90.00°
Fractional positions:
Gd  0.000  0.000  0.196
Gd  0.000  0.000  0.804
Cu  0.500  0.500  0.000
Pm  0.500  0.500  0.500

Calculated values
**Crystal system**: tetragonal
**Offset from the most stable computed form**: 0.00 eV/f.u.
**Energy relative to the elements**: -0.084 eV/atom
**D(E_F)**: 5.28 states/eV/cell


Here is a relaxed VAu3 crystal from Alexandria. Energies are from PBE.

Cell: 2.865 2.865 8.236 Å, 90.00 90.00 90.00°
Fractional positions:
Au  0.500  0.500  0.230
Au  0.500  0.500  0.770
Au  0.000  0.000  0.500
V  0.000  0.000  0.000

Calculated values
**Crystal system**: tetragonal
**Energy relative to the elements**: 0.006 eV/atom
**D(E_F)**: 3.54 states/eV/cell


Here is a relaxed Ac2GaAu4 crystal from Alexandria. Energies are from PBE.

Cell: 4.888 4.888 8.906 Å, 105.93 105.93 90.00°
Fractional positions:
Ac  0.357  0.357  0.714
Ac  0.643  0.643  0.286
Au  0.165  0.165  0.330
Au  0.500  0.000  0.000
Au  0.000  0.500  0.000
Au  0.835  0.835  0.670
Ga  0.000  0.000  0.000

Calculated values
**Crystal system**: tetragonal
**Energy relative to the elements**: -0.547 eV/atom
**D(E_F)**: 3.55 states/eV/cell


Here is a relaxed Pm2Ge4RuRh3 crystal from Alexandria. Energies are from PBE.

Cell: 4.317 4.317 9.846 Å, 90.00 90.00 90.00°
Fractional positions:
Ru  0.500  0.500  0.500
Ge  0.500  0.500  0.000
Ge  0.000  0.000  0.000
Ge  0.500  0.000  0.626
Ge  0.000  0.500  0.374
Rh  0.000  0.000  0.500
Rh  0.500  0.000  0.875
Rh  0.000  0.500  0.125
Pm  0.000  0.500  0.751
Pm  0.500  0.000  0.249

Calculated values
**Crystal system**: tetragonal
**Energy relative to the elements**: -0.819 eV/atom
**D(E_F)**: 4.44 states/eV/cell


Here is a relaxed ZrTe2H crystal from Alexandria. Energies are from PBE.

Cell: 7.811 7.811 7.811 Å, 29.91 29.91 29.91°
Fractional positions:
Zr  0.500  0.500  0.500
Te  0.912  0.912  0.912
Te  0.088  0.088  0.088
H  0.000  0.000  0.000

Calculated values
**Crystal system**: trigonal
**Offset from the most stable computed form**: 0.91 eV/f.u.
**D(E_F)**: 1.84 states/eV/cell


Q: Which magnetization values were calculated for the entries above? A: 0.00 14.54 0.67 0.00 0.00 0.00, in μB per cell.